This record from the Alexandria database describes crystalline La4MgGa2Fe2O12 at its relaxed geometry. The functional is PBE with a Hubbard U.

Summary:
energy above the lowest structure with this stoichiometry = 0.016 eV/atom
ρ = 5.72 g cm⁻³
total DFT energy (no corrections) = -7.09 eV per atom

Unit cell a=5.6600 b=6.5763 c=8.0384 alpha=87.91 beta=83.68 gamma=87.25
Last column: nearest neighbours and their distance in Å.
Space group P1 (No. 1)
One atom of each set of equivalent atoms:
La 0.0000 0.0000 0.0000  7 O 2.47-2.71
La 0.0849 0.2276 0.5573  3 O 2.26-2.50
La 0.4274 0.6761 0.4244  4 O 2.36-2.44
La 0.5398 0.4562 0.9422  5 O 2.36-2.58
Mg 0.8935 0.8688 0.3935  4 O 1.91-1.96
Ga 0.0156 0.4786 0.2085  4 O 1.85-1.93
Ga 0.5333 0.9713 0.7558  4 O 1.87-1.91
Fe 0.0482 0.6150 0.7719  3 O 2.00-2.14
Fe 0.5006 0.1156 0.2288  4 O 2.02-2.11
O 0.1356 0.6341 0.0224  1 Ga 1.86
O 0.2026 0.9665 0.3229  1 Mg 1.91, 1 Fe 2.05
O 0.2273 0.9065 0.6981  1 Ga 1.91
O 0.3240 0.3863 0.2716  1 Ga 1.93, 1 Fe 2.02
O 0.3434 0.4680 0.6670  1 Fe 2.01
O 0.4236 0.1128 0.9538  1 Ga 1.90
O 0.6907 0.0412 0.5463  1 Ga 1.87, 1 Mg 1.94
O 0.6952 0.8505 0.2126  1 Mg 1.94, 1 Fe 2.02
O 0.7354 0.7627 0.8316  1 Ga 1.87, 1 Fe 2.00
O 0.8075 0.2840 0.1638  1 Ga 1.85
O 0.8929 0.2998 0.8115  2 La 2.26-2.36, 1 Fe 2.29
O 0.9274 0.5736 0.4315  1 Ga 1.93, 1 Mg 1.96